Record 1
# In2SF

An optimized crystal structure of In2SF (PBE, Alexandria via LeMat-Bulk).

## Properties
SG = I-42d (122)
E above lowest polymorph = 0.000 eV per atom
formation energy from raw total energies = -0.867 eV/atom
total magnetization = 0.000 μB per cell

Unit cell a=5.0367 b=5.0367 c=8.3538 alpha=72.45 beta=72.45 gamma=90.00
Atoms (fractional coordinates):
F (0.5000, 0.5000, 0.0000)
F (0.2500, 0.7500, 0.5000)
S (0.0000, 0.0000, 0.0000)
S (0.7500, 0.2500, 0.5000)
In (0.5605, 0.1250, 0.2500)
In (0.1895, 0.6250, 0.2500)
In (0.8750, 0.8105, 0.7500)
In (0.3750, 0.4395, 0.7500)



Record 2
# BaCrC3

An optimized crystal structure of BaCrC3 (PBE, Alexandria via LeMat-Bulk).

## Properties
SG = Pm-3m (221)
E above lowest polymorph = 2.965 eV per atom
energy of formation from the pure elements = 4.1134 eV/atom
total magnetization = 0.372 μB per cell

Unit cell a=4.5688 b=4.5688 c=4.5688 alpha=90.00 beta=90.00 gamma=90.00
Last column: magnetic moment on the atom in μB.
Atoms (fractional coordinates):
C (0.5000, 0.0000, 0.0000)  0.18
C (0.0000, 0.0000, 0.5000)  0.17
C (0.0000, 0.5000, 0.0000)  0.20
Ba (0.0000, 0.0000, 0.0000)  0.04
Cr (0.5000, 0.5000, 0.5000)  -0.67



Record 3
# Ga2As2Se

An optimized crystal structure of Ga2As2Se (PBE, Alexandria via LeMat-Bulk).

## Properties
SG = I4/mmm (139)
formation energy from raw total energies = 0.209 eV/atom
total magnetization = 0.000 μB per cell

Unit cell a=4.4441 b=4.4441 c=6.1537 alpha=68.83 beta=68.83 gamma=90.00
Atoms (fractional coordinates):
Ga (0.3869, 0.3869, 0.2262)
Ga (0.6131, 0.6131, 0.7738)
As (0.2500, 0.7500, 0.5000)
As (0.7500, 0.2500, 0.5000)
Se (0.0000, 0.0000, 0.0000)



Record 4
# CoHg2Br

An optimized crystal structure of CoHg2Br (PBE, Alexandria via LeMat-Bulk).

## Properties
SG = Fm-3m (225)
E above lowest polymorph = 0.752 eV per atom
formation energy from raw total energies = 0.845 eV/atom
total magnetization = 0.000 μB per cell

Unit cell a=4.9700 b=4.9700 c=4.9700 alpha=60.00 beta=60.00 gamma=60.00
Atoms (fractional coordinates):
Hg (0.2500, 0.2500, 0.2500)
Hg (0.7500, 0.7500, 0.7500)
Br (0.5000, 0.5000, 0.5000)
Co (0.0000, 0.0000, 0.0000)



Record 5
# K3MgAg3Br8

An optimized crystal structure of K3MgAg3Br8 (PBE, Alexandria via LeMat-Bulk).

## Properties
SG = C2/m (12)
formation energy from raw total energies = -1.096 eV/atom
total magnetization = 0.000 μB per cell

Unit cell a=8.4424 b=8.6125 c=8.9557 alpha=118.70 beta=90.00 gamma=119.35
Atoms (fractional coordinates):
Br (0.7589, 0.9867, 0.7039)
Br (0.7394, 0.4789, 0.7067)
Br (0.7722, 0.0133, 0.2961)
Br (0.2411, 0.0133, 0.2961)
Br (0.7797, 0.5595, 0.3027)
Br (0.2278, 0.9867, 0.7039)
Br (0.2203, 0.4405, 0.6973)
Br (0.2606, 0.5211, 0.2933)
Ag (0.5000, 0.5000, 0.5000)
Ag (0.5000, 0.0000, 0.5000)
Ag (0.0000, 0.5000, 0.5000)
K (0.5000, 0.5000, 0.0000)
K (0.0000, 0.5000, 0.0000)
K (0.0000, 0.0000, 0.0000)
Mg (0.0000, 0.0000, 0.5000)



Record 6
# KAs3

An optimized crystal structure of KAs3 (PBE, Alexandria via LeMat-Bulk).

## Properties
SG = P4/mmm (123)
E above lowest polymorph = 0.173 eV per atom
energy of formation from the pure elements = 0.0499 eV/atom
total magnetization = 0.000 μB per cell

Unit cell a=3.8786 b=3.8786 c=6.7434 alpha=90.00 beta=90.00 gamma=90.00
Atoms (fractional coordinates):
As (0.5000, 0.5000, 0.6745)
As (0.0000, 0.0000, 0.5000)
As (0.5000, 0.5000, 0.3255)
K (0.0000, 0.0000, 0.0000)



Number 1: V 23.96 A^3/atom. Number 2: V 19.07 A^3/atom. Number 3: V 20.90 A^3/atom. Number 4: V 21.70 A^3/atom. Number 5: V 31.58 A^3/atom. Number 6: V 25.36 A^3/atom.